{"formula": "AgMo2IrF", "functional": "PBE with a Hubbard U", "state": "optimized geometry", "lattice_angstrom": [[5.0420, 0.0000, 0.0000], [0.0000, 5.1230, 0.0000], [0.0000, 0.0000, 5.0420]], "species": ["Ag", "Mo", "Mo", "Ir", "F"], "fractional_positions": [[0.0000, 0.5000, 0.0000], [0.0000, 0.0000, 0.5000], [0.5000, 0.0000, 0.0000], [0.0000, 0.0000, 0.0000], [0.5000, 0.5000, 0.5000]], "sg": "P4/mmm, No. 123", "total_energy_ev_per_atom": -4.51, "total_magnetization_mub_per_atom": 1.4833}